Entry from the Alexandria database: a relaxed structure of TbPm8Tl2 (PBE).

D(E_F), states/eV per atom: 1.63
Offset from the most stable computed form, meV/atom: 61.4
Energy of formation from the pure elements, kJ/mol of formula units: -46
Total moment, μB per atom: 0.00

POSCAR file:
```
TbPm8Tl2
1.0
6.116 0.929 0.649
2.661 9.424 2.447
2.661 5.540 8.006
Tb Pm Tl
1 8 2
Direct
0.000 0.000 0.000
0.223 0.085 0.566
0.223 0.566 0.085
0.777 0.915 0.434
0.269 0.492 0.492
0.777 0.434 0.915
0.331 0.127 0.127
0.669 0.873 0.873
0.731 0.508 0.508
0.749 0.323 0.323
0.251 0.677 0.677
```